# 1
{"formula": "Zn2InSiIr", "functional": "PBE-GGA", "state": "relaxed", "lattice": [[-3.828, 0.164, -2.765], [-2.645, -0.811, 3.614], [-0.362, 4.646, 0.778]], "species": ["Zn", "Zn", "Ir", "Si", "In"], "frac_coords": [[0.000, 0.000, 0.500], [0.500, 0.000, 0.000], [0.000, 0.500, 0.000], [0.000, 0.000, 0.000], [0.500, 0.500, 0.500]], "dos_at_fermi_per_ev_fu": 2.2, "volume_a3_per_atom": 20.318, "space_group": "P4/mmm", "m_tot_mub_per_fu": 0.00, "formation_energy_uncorrected_ev_per_atom": 0.401, "final_energy_ev_per_atom": -3.51}

---

# 2
{"formula": "Sm2InIr", "functional": "PBE-GGA", "state": "relaxed", "lattice": [[4.011, 0.000, 0.000], [2.006, 3.474, 0.000], [2.006, 1.158, 8.225]], "species": ["Ir", "Sm", "Sm", "In"], "frac_coords": [[0.000, 0.000, 0.000], [0.267, 0.267, 0.198], [0.733, 0.733, 0.802], [0.500, 0.500, 0.500]], "dos_at_fermi_per_ev_fu": 1.7, "volume_a3_per_atom": 28.655, "space_group": "R-3m", "formation_enthalpy_0k_ev_per_fu": -1.928, "m_tot_mub_per_fu": 0.00, "polymorph_energy_mev_per_atom": 98.4, "final_energy_ev_per_atom": -5.74}

---

# 3
{"formula": "Sm2InIr2", "functional": "PBE-GGA", "state": "relaxed", "lattice": [[5.598, 0.000, 0.000], [-2.799, 5.149, 0.028], [0.000, -2.322, 7.899]], "species": ["Sm", "Sm", "Sm", "Sm", "In", "In", "Ir", "Ir", "Ir", "Ir"], "frac_coords": [[0.486, 0.290, 0.148], [0.196, 0.710, 0.352], [0.514, 0.710, 0.852], [0.804, 0.290, 0.648], [0.847, 0.000, 0.250], [0.153, 0.000, 0.750], [0.707, 0.716, 0.491], [0.991, 0.284, 0.009], [0.293, 0.284, 0.509], [0.009, 0.716, 0.991]], "dos_at_fermi_per_ev_fu": 3.8, "volume_a3_per_atom": 22.807, "space_group": "C2/c", "formation_enthalpy_0k_ev_per_fu": -3.478, "m_tot_mub_per_fu": 0.00, "final_energy_ev_per_atom": -6.68}

---

# 4
{"formula": "Sm3InIr", "functional": "PBE-GGA", "state": "relaxed", "lattice": [[-2.713, 3.475, -3.174], [-3.478, -4.050, -1.461], [-6.156, 2.541, 7.611]], "species": ["Sm", "Sm", "Sm", "Sm", "Sm", "Sm", "In", "In", "Ir", "Ir"], "frac_coords": [[0.515, 0.250, 0.897], [0.485, 0.750, 0.103], [0.979, 0.750, 0.359], [0.021, 0.250, 0.641], [0.494, 0.250, 0.332], [0.506, 0.750, 0.668], [0.003, 0.250, 0.111], [0.997, 0.750, 0.889], [0.476, 0.750, 0.379], [0.524, 0.250, 0.621]], "dos_at_fermi_per_ev_fu": 4.7, "volume_a3_per_atom": 30.395, "space_group": "P2_1/m", "formation_enthalpy_0k_ev_per_fu": -1.958, "m_tot_mub_per_fu": 0.00, "polymorph_energy_mev_per_atom": 156.2, "final_energy_ev_per_atom": -5.54}

---

# 5
{"formula": "Sm6In3Ir", "functional": "PBE-GGA", "state": "relaxed", "lattice": [[5.294, 0.000, 0.034], [0.000, 9.202, 0.000], [-0.079, 0.000, 11.886]], "species": ["Sm", "Sm", "Sm", "Sm", "Sm", "Sm", "Sm", "Sm", "Sm", "Sm", "Sm", "Sm", "In", "In", "In", "In", "In", "In", "Ir", "Ir"], "frac_coords": [[0.500, 0.154, 0.918], [0.500, 0.193, 0.585], [0.500, 0.486, 0.263], [0.500, 0.514, 0.737], [0.500, 0.807, 0.415], [0.500, 0.846, 0.082], [0.000, 0.346, 0.418], [0.000, 0.307, 0.085], [0.000, 0.014, 0.763], [0.000, 0.986, 0.237], [0.000, 0.693, 0.915], [0.000, 0.654, 0.582], [0.500, 0.848, 0.722], [0.500, 0.500, 0.000], [0.500, 0.152, 0.278], [0.000, 0.652, 0.222], [0.000, 0.000, 0.500], [0.000, 0.348, 0.778], [0.500, 0.500, 0.500], [0.000, 0.000, 0.000]], "dos_at_fermi_per_ev_fu": 8.7, "volume_a3_per_atom": 28.955, "space_group": "Pnnm", "formation_enthalpy_0k_ev_per_fu": -4.143, "m_tot_mub_per_fu": 0.00, "polymorph_energy_mev_per_atom": 9.6, "final_energy_ev_per_atom": -4.95}

---

# 6
{"formula": "Sm4InIr2", "functional": "PBE-GGA", "state": "relaxed", "lattice": [[4.714, 0.000, 0.000], [2.357, 4.083, 0.000], [2.357, 1.361, 10.078]], "species": ["Sm", "Sm", "Sm", "Sm", "In", "Ir", "Ir"], "frac_coords": [[0.390, 0.390, 0.830], [0.202, 0.202, 0.395], [0.798, 0.798, 0.605], [0.610, 0.610, 0.170], [0.000, 0.000, 0.000], [0.097, 0.097, 0.708], [0.903, 0.903, 0.292]], "dos_at_fermi_per_ev_fu": 5.6, "volume_a3_per_atom": 27.709, "space_group": "R-3m", "formation_enthalpy_0k_ev_per_fu": -3.782, "m_tot_mub_per_fu": 0.00, "final_energy_ev_per_atom": -6.16}

---

# 7
{"formula": "Sm2In8Ir", "functional": "PBE-GGA", "state": "relaxed", "lattice": [[4.689, 0.000, 0.000], [0.000, 4.689, 0.000], [0.000, 0.000, 12.258]], "species": ["Sm", "Sm", "In", "In", "In", "In", "In", "In", "In", "In", "Ir"], "frac_coords": [[0.000, 0.000, 0.307], [0.000, 0.000, 0.693], [0.000, 0.500, 0.500], [0.500, 0.000, 0.500], [0.500, 0.500, 0.309], [0.500, 0.500, 0.691], [0.000, 0.500, 0.121], [0.500, 0.000, 0.121], [0.000, 0.500, 0.879], [0.500, 0.000, 0.879], [0.000, 0.000, 0.000]], "dos_at_fermi_per_ev_fu": 5.9, "volume_a3_per_atom": 24.498, "space_group": "P4/mmm", "formation_enthalpy_0k_ev_per_fu": -4.461, "m_tot_mub_per_fu": 0.00, "final_energy_ev_per_atom": -4.06}

---

# 8
{"formula": "SmInIr", "functional": "PBE-GGA", "state": "relaxed", "lattice": [[-3.292, 2.582, -0.216], [-1.871, -1.798, 7.012], [7.205, 9.578, 4.693]], "species": ["Sm", "Sm", "Sm", "Sm", "Sm", "Sm", "In", "In", "In", "In", "In", "In", "Ir", "Ir", "Ir", "Ir", "Ir", "Ir"], "frac_coords": [[0.750, 0.540, 0.378], [0.250, 0.951, 0.715], [0.750, 0.049, 0.285], [0.750, 0.656, 0.081], [0.250, 0.460, 0.622], [0.250, 0.344, 0.919], [0.250, 0.994, 0.087], [0.250, 0.858, 0.456], [0.750, 0.619, 0.796], [0.750, 0.142, 0.544], [0.250, 0.381, 0.204], [0.750, 0.006, 0.913], [0.250, 0.753, 0.916], [0.750, 0.252, 0.749], [0.750, 0.753, 0.585], [0.750, 0.247, 0.084], [0.250, 0.247, 0.415], [0.250, 0.748, 0.251]], "dos_at_fermi_per_ev_fu": 1.7, "volume_a3_per_atom": 22.393, "space_group": "P2_1/m", "formation_enthalpy_0k_ev_per_fu": -1.938, "m_tot_mub_per_fu": 0.00, "final_energy_ev_per_atom": -6.09}

---

# 9
{"formula": "SmInIr2", "functional": "PBE-GGA", "state": "relaxed", "lattice": [[-0.340, 0.586, 3.401], [2.086, -2.688, 0.671], [5.112, 3.926, -0.165]], "species": ["Ir", "Ir", "Sm", "In"], "frac_coords": [[0.000, 0.000, 0.772], [0.000, 0.000, 0.228], [0.500, 0.500, 0.500], [0.500, 0.500, 0.000]], "dos_at_fermi_per_ev_fu": 2.4, "volume_a3_per_atom": 19.387, "space_group": "P4/mmm", "formation_enthalpy_0k_ev_per_fu": -1.300, "m_tot_mub_per_fu": 0.00, "final_energy_ev_per_atom": -6.62}

---

# 10
{"formula": "Sm3InIr", "functional": "PBE-GGA", "state": "relaxed", "lattice": [[5.467, 0.000, 0.000], [0.000, 5.467, 0.000], [0.000, 0.000, 5.467]], "species": ["Ir", "Sm", "Sm", "Sm", "In"], "frac_coords": [[0.000, 0.000, 0.000], [0.000, 0.500, 0.000], [0.000, 0.000, 0.500], [0.500, 0.000, 0.000], [0.500, 0.500, 0.500]], "dos_at_fermi_per_ev_fu": 6.6, "volume_a3_per_atom": 32.672, "space_group": "Pm-3m", "formation_enthalpy_0k_ev_per_fu": -1.608, "m_tot_mub_per_fu": 0.00, "polymorph_energy_mev_per_atom": 226.1, "final_energy_ev_per_atom": -5.47}